The following is a GGA+U calculation of crystalline CrPCl2F at its relaxed geometry, from Alexandria. Values from VASP.

Quantum ESPRESSO input file:
```
&SYSTEM
  ibrav = 0, nat = 5, ntyp = 4
/
ATOMIC_SPECIES
Cr 52.00 Cr.upf
P 30.97 P.upf
Cl 35.45 Cl.upf
F 19.00 F.upf
ATOMIC_POSITIONS angstrom
Cr 0.000 0.000 0.000
P 0.000 0.000 2.257
Cl 0.000 2.266 0.000
Cl 2.266 0.000 0.000
F 2.266 2.266 2.257
CELL_PARAMETERS angstrom
4.532 0.000 0.000
0.000 4.532 0.000
0.000 0.000 4.514
```

Calculated values
Its space group is No. 123. As for the energy above the most stable polymorph in this dataset: 361 meV per atom. The final energy is -3.38 eV per atom.